Entry 1:
Here is an optimized crystal structure of Th4GaSb2 from the Alexandria database. Energies are from GGA-PBE.

The structure in extended XYZ format:
```
7
Lattice="7.8469 -2.1633 0.0000 7.8469 2.1633 0.0000 -3.4104 0.0000 6.6525" Properties=species:S:1:pos:R:3 pbc="T T T"
Th 0.6799 0.0000 2.0140
Th 5.2931 0.0000 1.6024
Th 6.9903 0.0000 5.0501
Th 11.6034 0.0000 4.6385
Ga 7.8469 0.0000 0.0000
Sb 1.4529 0.0000 5.1151
Sb 10.8304 0.0000 1.5373
```

Calculated values
Energy   -6.294 eV/atom
Uncorrected formation energy   -0.44 eV per atom
SG   No. 12

***

Entry 2:
Here is an optimized crystal structure of ThGaSb2 from the Alexandria database. Energies are from GGA-PBE.

The structure in extended XYZ format:
```
4
Lattice="4.8112 0.0000 0.0000 0.0000 4.8112 0.0000 0.0000 0.0000 4.4204" Properties=species:S:1:pos:R:3 pbc="T T T"
Th 0.0000 0.0000 0.0000
Ga 2.4056 2.4056 0.0000
Sb 0.0000 2.4056 2.2102
Sb 2.4056 0.0000 2.2102
```

Calculated values
ΔE to the lowest computed polymorph   0.0 meV/atom
Energy   -5.189 eV/atom
Uncorrected formation energy   -0.52 eV per atom
SG   No. 123

***

Entry 3:
Here is an optimized crystal structure of Th8GaSb5 from the Alexandria database. Energies are from GGA-PBE.

The structure in extended XYZ format:
```
14
Lattice="-4.7184 4.7184 4.7482 4.7184 -4.7184 4.7482 4.7184 4.7184 -4.7482" Properties=species:S:1:pos:R:3 pbc="T T T"
Th 6.5073 0.6624 -0.4784
Th 1.6663 -0.6684 2.8463
Th 0.6624 2.9295 0.4784
Th 3.0521 5.3868 -1.9019
Th 4.0499 3.0521 1.9019
Th 4.0560 1.7889 5.2266
Th 0.6684 1.6663 6.6502
Th -1.7889 4.0560 4.2699
Ga 0.0000 0.0000 0.0000
Sb 3.5623 2.3465 -1.1756
Sb 4.7184 0.0000 2.3741
Sb 2.3719 -1.1561 5.9238
Sb 1.1561 2.3719 3.5727
Sb 2.3465 5.8745 1.1756
```

Calculated values
Energy   -6.629 eV/atom
Uncorrected formation energy   -0.70 eV per atom
SG   No. 82

***

Entry 4:
Here is an optimized crystal structure of Th3GaSb from the Alexandria database. Energies are from GGA-PBE.

The structure in extended XYZ format:
```
10
Lattice="3.9304 -7.5197 0.0000 3.9304 7.5197 0.0000 0.0000 0.0000 5.2631" Properties=species:S:1:pos:R:3 pbc="T T T"
Th 1.9652 3.7599 2.6316
Th 3.9304 5.2028 0.0000
Th 2.5105 0.0000 2.6316
Th 1.9652 -3.7599 2.6316
Th 5.3503 0.0000 2.6316
Th 3.9304 -5.2028 0.0000
Ga 3.9304 6.1625 2.6316
Ga 3.9304 -6.1625 2.6316
Sb 3.9304 1.9954 0.0000
Sb 3.9304 -1.9954 0.0000
```

Calculated values
Energy   -5.964 eV/atom
Uncorrected formation energy   -0.08 eV per atom
SG   No. 65

***

Entry 5:
Here is an optimized crystal structure of ThGa4Sb from the Alexandria database. Energies are from GGA-PBE.

The structure in extended XYZ format:
```
6
Lattice="0.0000 3.9999 3.9999 3.9999 0.0000 3.9999 3.9999 3.9999 0.0000" Properties=species:S:1:pos:R:3 pbc="T T T"
Th 0.0000 0.0000 0.0000
Ga 5.0004 2.9994 2.9994
Ga 2.9994 5.0004 2.9994
Ga 2.9994 2.9994 5.0004
Ga 5.0004 5.0004 5.0004
Sb 1.9999 1.9999 1.9999
```

Calculated values
Energy   -4.170 eV/atom
Uncorrected formation energy   -0.23 eV per atom
SG   No. 216

***

Entry 6:
Here is an optimized crystal structure of Th5GaSb4 from the Alexandria database. Energies are from GGA-PBE.

The structure in extended XYZ format:
```
10
Lattice="-5.0060 5.0060 3.1629 5.0060 -5.0060 3.1629 5.0060 5.0060 -3.1629" Properties=species:S:1:pos:R:3 pbc="T T T"
Th 0.0000 0.0000 0.0000
Th 4.0217 2.1290 0.0000
Th 2.8771 -0.9843 3.1629
Th 2.1290 5.9904 0.0000
Th 0.9843 2.8771 3.1629
Ga 0.0000 0.0000 3.1629
Sb 6.9743 0.9464 0.0000
Sb 0.9464 3.0378 0.0000
Sb 4.0596 1.9683 3.1629
Sb -1.9683 4.0596 3.1629
```

Calculated values
Energy   -6.463 eV/atom
Uncorrected formation energy   -0.80 eV per atom
SG   No. 87